## NaTl2In (PBE-GGA)

Data for NaTl2In after structural relaxation.

a = 4.914 Å, b = 4.914 Å, c = 5.829 Å
α = 114.93°, β = 114.93°, γ = 90.00°
Sites, in units of the cell vectors:
Na 0.500 0.000 0.000
In 0.000 0.500 0.000
Tl 0.750 0.750 0.500
Tl 0.250 0.250 0.500

## Properties
Final energy ... -2.27 eV/atom
Total magnetization ... 0.00 μB/atom
N(E_F) ... 2.35 states/eV per cell
Formation energy from the elements ... -0.3 eV per formula unit
Space group ... I4/mmm, No. 139

---

## BaCuP2 (PBE-GGA)

Data for BaCuP2 after structural relaxation.

a = 6.045 Å, b = 6.045 Å, c = 4.838 Å
α = 88.64°, β = 88.64°, γ = 38.14°
Sites, in units of the cell vectors:
P 0.925 0.925 0.000
P 0.723 0.723 0.987
Ba 0.534 0.534 0.499
Cu 0.317 0.317 0.015

## Properties
Final energy ... -4.63 eV/atom
Total magnetization ... 0.00 μB/atom
N(E_F) ... 3.33 states/eV per cell
Formation energy from the elements ... -1.7 eV per formula unit
Space group ... Cm, No. 8

---

## K5MgHg6 (PBE-GGA)

Data for K5MgHg6 after structural relaxation.

a = 5.764 Å, b = 8.049 Å, c = 10.117 Å
α = 113.41°, β = 106.51°, γ = 90.10°
Sites, in units of the cell vectors:
Hg 0.500 0.812 0.000
K 0.306 0.806 0.612
K 0.345 0.345 0.691
Hg 0.143 0.941 0.287
K 0.694 0.194 0.388
Mg 0.000 0.000 0.000
Hg 0.856 0.654 0.713
K 0.655 0.655 0.309
Hg 0.857 0.059 0.713
K 0.000 0.500 0.000
Hg 0.144 0.346 0.287
Hg 0.500 0.188 0.000

## Properties
Final energy ... -0.95 eV/atom
Total magnetization ... 0.00 μB/atom
N(E_F) ... 5.86 states/eV per cell
Formation energy from the elements ... -2.5 eV per formula unit
Space group ... C2/m, No. 12

---

Q: What is the total magnetization in the second record?
A: 0.00 μB/atom

---

Please write out number 3 again, unchanged.
## K5MgHg6 (PBE-GGA)

Data for K5MgHg6 after structural relaxation.

a = 5.764 Å, b = 8.049 Å, c = 10.117 Å
α = 113.41°, β = 106.51°, γ = 90.10°
Sites, in units of the cell vectors:
Hg 0.500 0.812 0.000
K 0.306 0.806 0.612
K 0.345 0.345 0.691
Hg 0.143 0.941 0.287
K 0.694 0.194 0.388
Mg 0.000 0.000 0.000
Hg 0.856 0.654 0.713
K 0.655 0.655 0.309
Hg 0.857 0.059 0.713
K 0.000 0.500 0.000
Hg 0.144 0.346 0.287
Hg 0.500 0.188 0.000

## Properties
Final energy ... -0.95 eV/atom
Total magnetization ... 0.00 μB/atom
N(E_F) ... 5.86 states/eV per cell
Formation energy from the elements ... -2.5 eV per formula unit
Space group ... C2/m, No. 12